# 1
# YBe2Hg, relaxed, DFT PBE
data_YBe2Hg
_cell_length_a 3.9298
_cell_length_b 3.6258
_cell_length_c 5.1951
_cell_angle_alpha 69.46
_cell_angle_beta 90.00
_cell_angle_gamma 90.00
_symmetry_space_group_name_H-M 'P 1'
_symmetry_Int_Tables_number 1
_symmetry_space_group_name_Hall 'P 1'
loop_
_atom_site_label
_atom_site_type_symbol
_atom_site_fract_x
_atom_site_fract_y
_atom_site_fract_z
Y1 Y 0.5000 0.7804 0.8159
Be1 Be 0.0000 0.1659 0.0438
Be2 Be 0.5000 0.0703 0.2324
Hg1 Hg 0.0000 0.4834 0.4079
# Electronic total energy, eV/atom: -3.53
# SG: No. 6

# 2
# Y2BeHg, relaxed, DFT PBE
data_Y2BeHg
_cell_length_a 5.8437
_cell_length_b 5.8437
_cell_length_c 5.8437
_cell_angle_alpha 136.65
_cell_angle_beta 136.65
_cell_angle_gamma 62.97
_symmetry_space_group_name_H-M 'P 1'
_symmetry_Int_Tables_number 1
_symmetry_space_group_name_Hall 'P 1'
loop_
_atom_site_label
_atom_site_type_symbol
_atom_site_fract_x
_atom_site_fract_y
_atom_site_fract_z
Y1 Y 0.0000 0.0000 0.0000
Y2 Y 0.2500 0.7500 0.5000
Be1 Be 0.5000 0.5000 0.0000
Hg1 Hg 0.7500 0.2500 0.5000
# Electronic total energy, eV/atom: -4.19
# E above lowest polymorph, meV/atom: 268.9
# SG: No. 119

# 3
# YBe2Hg, relaxed, DFT PBE
data_YBe2Hg
_cell_length_a 5.4367
_cell_length_b 5.4367
_cell_length_c 5.4367
_cell_angle_alpha 43.84
_cell_angle_beta 43.84
_cell_angle_gamma 43.84
_symmetry_space_group_name_H-M 'P 1'
_symmetry_Int_Tables_number 1
_symmetry_space_group_name_Hall 'P 1'
loop_
_atom_site_label
_atom_site_type_symbol
_atom_site_fract_x
_atom_site_fract_y
_atom_site_fract_z
Y1 Y 0.7500 0.7500 0.7500
Be1 Be 0.9537 0.9537 0.9537
Be2 Be 0.5463 0.5463 0.5463
Hg1 Hg 0.2500 0.2500 0.2500
# Electronic total energy, eV/atom: -3.59
# SG: No. 166

# 4
# Y2BeHg, relaxed, DFT PBE
data_Y2BeHg
_cell_length_a 5.1038
_cell_length_b 5.1038
_cell_length_c 5.1038
_cell_angle_alpha 60.00
_cell_angle_beta 60.00
_cell_angle_gamma 60.00
_symmetry_space_group_name_H-M 'P 1'
_symmetry_Int_Tables_number 1
_symmetry_space_group_name_Hall 'P 1'
loop_
_atom_site_label
_atom_site_type_symbol
_atom_site_fract_x
_atom_site_fract_y
_atom_site_fract_z
Y1 Y 0.2500 0.2500 0.2500
Y2 Y 0.7500 0.7500 0.7500
Be1 Be 0.0000 0.0000 0.0000
Hg1 Hg 0.5000 0.5000 0.5000
# Electronic total energy, eV/atom: -4.39
# E above lowest polymorph, meV/atom: 70.8
# SG: No. 225

Number 1: formation enthalpy at 0 K 0.03 eV/atom. Number 2: formation enthalpy at 0 K 0.05 eV/atom. Number 3: formation enthalpy at 0 K -0.04 eV/atom. Number 4: formation enthalpy at 0 K -0.15 eV/atom.